1.
## Ba2TmUN4 (GGA-PBE)

Data for a relaxed structure of Ba2TmUN4.

The formation energy from raw total energies is -1.143 eV/atom.

The structure belongs to space group P2/m (No. 10); the cell edges are 6.055, 3.611 and 6.743 Å and the angles 90.00°, 107.42° and 90.00°. Symmetry generates all atoms from Ba at (0.000, 0.000, 0.000), Ba at (0.500, 0.500, 0.000), Tm at (0.000, 0.500, 0.500), U at (0.500, 0.000, 0.500), N at (0.255, 0.000, 0.674) and N at (0.291, 0.500, 0.325).

2.
## Ba2TmVN4 (GGA-PBE)

Data for a relaxed structure of Ba2TmVN4.

The formation energy from raw total energies is -0.658 eV/atom.

The structure belongs to space group Fddd (No. 70, origin choice 2); the cell edges are 5.586, 11.934 and 21.308 Å and the angles 90.00°, 90.00° and 90.00°. Symmetry generates all atoms from Ba at (0.125, 0.125, 0.312), Tm at (0.125, 0.125, 0.125), V at (0.125, 0.125, 0.625) and N at (0.084, 0.280, 0.834).

3.
## BaTmW2N6 (GGA-PBE)

Data for a relaxed structure of BaTmW2N6.

The formation energy from raw total energies is -0.652 eV/atom.

The structure belongs to space group C2/c (No. 15); the cell edges are 11.231, 10.921 and 6.610 Å and the angles 90.00°, 112.65° and 90.00°. Symmetry generates all atoms from Ba at (0.000, 0.101, 0.250), Tm at (0.000, 0.280, 0.750), W at (0.201, 0.422, 0.167), N at (0.100, 0.289, 0.122), N at (0.129, 0.130, 0.706) and N at (0.163, 0.466, 0.865).

| no. | V (Å³ per atom) |
| --- | --- |
| 1 | 17.6 |
| 2 | 22.2 |
| 3 | 18.7 |